The following is a PBE calculation of Sr2MgCr after structural relaxation, from the Alexandria database.

```
data_Sr2MgCr
_chemical_formula_sum 'Sr4 Mg2 Cr2'
_symmetry_space_group_name_H-M 'C 1 m 1'
_symmetry_Int_Tables_number 8
_cell_length_a 12.727
_cell_length_b 3.978
_cell_length_c 5.895
_cell_angle_alpha 90.00
_cell_angle_beta 113.06
_cell_angle_gamma 90.00
loop_
_symmetry_equiv_pos_as_xyz
'x,y,z'
'x,-y,z'
'x+1/2,y+1/2,z'
'x+1/2,-y+1/2,z'
loop_
_atom_site_label
_atom_site_type_symbol
_atom_site_fract_x
_atom_site_fract_y
_atom_site_fract_z
_atom_site_occupancy
Sr1 Sr 0.000 0.000 0.000 1
Sr2 Sr 0.207 0.000 0.677 1
Mg1 Mg 0.433 0.000 0.434 1
Cr1 Cr 0.253 0.500 0.214 1
```

Output
The calculation puts the total energy at -13.072 eV/f.u. The theoretical density is 3.04 Mg/m³. As for the crystal system: monoclinic. As for the total magnetic moment: 9.11 Bohr magnetons per cell.